Computed, not measured: a relaxed structure of Cs3ErPu2O9 at the PBE level of DFT.

For the magnetization, the calculation gives 4.000 μB/cell. The density of states at the Fermi level comes out at 9.1 states/eV/f.u. The formation energy from raw total energies comes out at -2.450 eV/atom.

The structure belongs to space group P-3m1 (No. 164); the cell edges are 6.1906, 6.1906 and 7.5909 Å and the angles 90.00°, 90.00° and 120.00°. The inequivalent atoms are Cs at (0.0000, 0.0000, 0.0000), Cs at (0.3333, 0.6667, 0.6628), Er at (0.0000, 0.0000, 0.5000), Pu at (0.3333, 0.6667, 0.1652), O at (0.0000, 0.5000, 0.0000) and O at (0.1764, 0.3527, 0.3209).

Computed, not measured: a relaxed structure of TlCr2Cu at the PBE level of DFT.

For the magnetization, the calculation gives 1.478 μB/cell. The density of states at the Fermi level comes out at 3.9 states/eV/f.u. The value obtained for the energy of formation is 0.815 eV per atom.

The structure belongs to space group Cmmm (No. 65); the cell edges are 5.1481, 8.3361 and 2.7449 Å and the angles 90.00°, 90.00° and 90.00°. The inequivalent atoms are Tl at (0.0000, 0.0000, 0.0000), Cr at (0.2500, 0.2500, 0.5000) and Cu at (0.0000, 0.5000, 0.0000).

Computed, not measured: a relaxed structure of Mn2Ge2W at the PBE level of DFT.

For the magnetization, the calculation gives 10.628 μB/cell. The density of states at the Fermi level comes out at 3.2 states/eV/f.u. The value obtained for the energy of formation is 0.103 eV per atom.

The structure belongs to space group P4/mbm (No. 127); the cell edges are 6.8603, 6.8603 and 3.0150 Å and the angles 90.00°, 90.00° and 90.00°. The inequivalent atoms are Mn at (0.1535, 0.3465, 0.0000), Ge at (0.1433, 0.6433, 0.5000) and W at (0.0000, 0.0000, 0.5000).

Computed, not measured: a relaxed structure of TmHgPbBr6 at the PBE level of DFT.

For the magnetization, the calculation gives 0.000 μB/cell. The density of states at the Fermi level comes out at 4.9 states/eV/f.u. The formation energy from raw total energies comes out at -1.127 eV/atom.

The structure belongs to space group P312 (No. 149); the cell edges are 7.4938, 7.4938 and 6.7799 Å and the angles 90.00°, 90.00° and 120.00°. The inequivalent atoms are Tm at (0.0000, 0.0000, 0.0000), Hg at (0.6667, 0.3333, 0.5000), Pb at (0.3333, 0.6667, 0.0000) and Br at (0.0072, 0.3068, 0.7627).

Computed, not measured: a relaxed structure of Hg4BiPb15 at the PBE level of DFT.

For the magnetization, the calculation gives 0.000 μB/cell. The density of states at the Fermi level comes out at 7.6 states/eV/f.u. The value obtained for the energy of formation is 0.008 eV per atom.

The structure belongs to space group P4/mmm (No. 123); the cell edges are 4.9194, 4.9194 and 24.9826 Å and the angles 90.00°, 90.00° and 90.00°. The inequivalent atoms are Hg at (0.0000, 0.0000, 0.0984), Hg at (0.0000, 0.0000, 0.2958), Bi at (0.0000, 0.0000, 0.5000), Pb at (0.0000, 0.5000, 0.0000), Pb at (0.0000, 0.5000, 0.1968), Pb at (0.0000, 0.5000, 0.3941), Pb at (0.5000, 0.5000, 0.0988), Pb at (0.5000, 0.5000, 0.2983) and Pb at (0.5000, 0.5000, 0.5000).

Computed, not measured: a relaxed structure of LiNpBiPt at the PBE level of DFT.

For the magnetization, the calculation gives 17.841 μB/cell. The density of states at the Fermi level comes out at 7.0 states/eV/f.u. The value obtained for the energy of formation is -0.235 eV per atom.

The structure belongs to space group F-43m (No. 216); the cell edges are 6.9708, 6.9708 and 6.9708 Å and the angles 90.00°, 90.00° and 90.00°. The inequivalent atoms are Li at (0.0000, 0.0000, 0.0000), Np at (0.2500, 0.2500, 0.7500), Bi at (0.2500, 0.2500, 0.2500) and Pt at (0.0000, 0.0000, 0.5000).